Record 1
The following is a DFT calculation (PBE-GGA) of a relaxed structure of YThAu.

## Properties
- offset from the most stable computed form (eV per formula unit) = 0.000
- DFT formation energy (eV/atom) = -0.44

Unit cell a=3.6077 b=3.6077 c=12.6628 alpha=90.00 beta=90.00 gamma=90.00
Last column: nearest neighbours and their distance in Å.
Space group I4mm (No. 107)
Unique sites:
Y: 0.0000 0.0000 0.0000 x2  4 Au 3.10
Th: 0.0000 0.0000 0.6997 x2  4 Au 3.27, 4 Y 3.59, 4 Th 3.61
Au: 0.0000 0.0000 0.3608 x2  4 Y 3.10, 4 Th 3.27



Record 2
The following is a DFT calculation (PBE-GGA) of a relaxed structure of Y2ThAu3.

## Properties
- DFT formation energy (eV/atom) = -0.74

Unit cell a=5.1522 b=5.1522 c=6.3643 alpha=90.00 beta=90.00 gamma=120.00
Last column: nearest neighbours and their distance in Å.
Space group P-3m1 (No. 164)
Unique sites:
Y: 0.3333 0.6667 0.1603 x2  8 Au 3.08-3.28
Th: 0.0000 0.0000 0.5000 x1  8 Au 3.18
Au: 0.0000 0.0000 0.0000 x1  6 Y 3.14, 2 Th 3.18
Au: 0.3333 0.6667 0.6758 x2  5 Y 3.08-3.28, 3 Th 3.18



| no. | Fermi-level density of states (states/eV/atom) | mass density (Mg/m³) |
| --- | --- | --- |
| 1 | 1.61 | 10.44 |
| 2 | 0.83 | 11.36 |